Sm3GaSi2: relaxed, GGA-PBE.

Results
Calculated total energy (eV per atom): -5.339
Space group: Pnma (62)

Cell and atoms, written as extended XYZ:
```
24
Lattice="-1.5150 3.8829 0.3852 -11.0201 -4.3061 0.0628 0.4515 -0.9849 11.7030" Properties=species:S:1:pos:R:3 pbc="T T T"
Sm -4.5437 -0.7241 0.7991
Sm -7.5400 -0.6840 11.3520
Sm -10.6379 -1.3138 5.5169
Sm -1.4458 -0.0942 6.6342
Sm -7.9958 -2.2366 2.4676
Sm -4.0878 0.8285 9.6834
Sm -3.1971 1.7572 3.8255
Sm -8.8865 -3.1653 8.3255
Sm -5.0447 -1.2894 4.5270
Sm -7.0389 -0.1186 7.6240
Sm -11.4263 -1.2523 1.7962
Sm -0.6573 -0.1557 10.3548
Ga -1.7908 0.2625 1.6813
Ga -10.2929 -1.6706 10.4697
Ga -7.9542 -0.1761 4.6036
Ga -4.1294 -1.2319 7.5475
Si -7.7046 -2.4454 5.7177
Si -4.3790 1.0373 6.4334
Si -3.1567 2.0956 0.5736
Si -8.9269 -3.5036 11.5774
Si -0.3078 0.6366 3.7431
Si -11.7758 -2.0447 8.4079
Si -6.6310 0.5463 2.5258
Si -5.4526 -1.9544 9.6252
```